Mg3Zn2Au2: relaxed, GGA-PBE.

Computed properties:
* energy relative to the elements: -340 meV per atom
* crystal system: orthorhombic
* spin magnetization: 0.00 μB/cell
* Fermi-level density of states: 2.517 states/eV per cell
* V: 17.8 Å³ per atom

Lattice parameters (Å, degrees): 4.0308 3.1317 10.0540 90.00 78.44 90.00
Element x y z (fractional)
Mg: 0.8487 0.0000 0.3025
Mg: 0.0000 0.0000 0.0000
Mg: 0.1513 0.0000 0.6975
Zn: 0.7141 0.5000 0.5717
Zn: 0.2859 0.5000 0.4283
Au: 0.5767 0.5000 0.8465
Au: 0.4233 0.5000 0.1535